! YZr2Cu PBE-GGA optimized geometry; values from VASP
&SYSTEM
  ibrav = 0, nat = 4, ntyp = 3
/
ATOMIC_SPECIES
Y 88.91 Y.upf
Zr 91.22 Zr.upf
Cu 63.55 Cu.upf
CELL_PARAMETERS angstrom
-2.2249 2.2249 4.4115
2.2249 -2.2249 4.4115
2.2249 2.2249 -4.4115
ATOMIC_POSITIONS angstrom
Y 0.0000 0.0000 0.0000
Zr 2.2249 0.0000 2.2058
Zr 0.0000 0.0000 4.4115
Cu 0.0000 2.2249 2.2058
! Formation enthalpy at 0 K   0.164 eV/atom
! Calculated density   6.37 g cm⁻³
! Energy   -6.751 eV per atom



! YZrCu PBE-GGA optimized geometry; values from VASP
&SYSTEM
  ibrav = 0, nat = 6, ntyp = 3
/
ATOMIC_SPECIES
Y 88.91 Y.upf
Zr 91.22 Zr.upf
Cu 63.55 Cu.upf
CELL_PARAMETERS angstrom
4.4579 0.0000 0.0000
0.0000 4.4579 0.0000
0.0000 0.0000 6.8887
ATOMIC_POSITIONS angstrom
Y 1.1145 1.1145 0.9032
Y 3.3434 3.3434 5.9855
Zr 1.1145 3.3434 3.4443
Zr 3.3434 1.1145 3.4443
Cu 1.1145 1.1145 5.0575
Cu 3.3434 3.3434 1.8311
! Formation enthalpy at 0 K   -0.102 eV/atom
! Calculated density   5.91 g cm⁻³
! Energy   -6.471 eV per atom